Entry from Alexandria via LeMat-Bulk: a relaxed Ti2GaNiS crystal (PBE-GGA).

Its formation energy without anion corrections is 0.101 eV per atom. The total energy comes out at -0.41483 Ry per atom. The calculation puts the spin magnetization at 1.050 μB/cell.

The space group is P4/mmm (No. 123) and the conventional cell measures 4.611, 4.611 and 4.316 Å, with angles of 90.00, 90.00 and 90.00 degrees. The distinct sites, in fractional coordinates, are Ti at (0.000, 0.500, 0.000), Ga at (0.000, 0.000, 0.500), Ni at (0.000, 0.000, 0.000) and S at (0.500, 0.500, 0.500).

---

Entry from Alexandria via LeMat-Bulk: a relaxed AcSm2Al2Ga2 crystal (PBE-GGA).

The value obtained for the formation energy is -38.2 kJ per mole of atoms. The total energy comes out at -0.31350 Ry per atom. The calculation puts the spin magnetization at 0.002 μB/cell.

The space group is R-3m (No. 166, hexagonal axes) and the conventional cell measures 4.4145, 4.4145 and 32.8503 Å, with angles of 90.00, 90.00 and 120.00 degrees. The distinct sites, in fractional coordinates, are Ac at (0.0000, 0.0000, 0.0000), Sm at (0.0000, 0.0000, 0.1300), Al at (0.0000, 0.0000, 0.4019) and Ga at (0.0000, 0.0000, 0.2529).